# 1
Ca2Hg2Sb | Alexandria | PBE | relaxed; excess energy over the best structure of this formula in the dataset = 0 meV per atom; magnetization = 0.00 Bohr magnetons per cell; SG = P4/mbm, No. 127
1.0
7.994 0.000 0.000
0.000 7.994 0.000
0.000 0.000 4.410
Ca Hg Sb
4 4 2
direct
0.175 0.325 0.000 Ca
0.325 0.825 0.000 Ca
0.675 0.175 0.000 Ca
0.825 0.675 0.000 Ca
0.128 0.628 0.500 Hg
0.372 0.128 0.500 Hg
0.628 0.872 0.500 Hg
0.872 0.372 0.500 Hg
0.000 0.000 0.500 Sb
0.500 0.500 0.500 Sb



# 2
Tl12Te3F5 | Alexandria | PBE | relaxed; magnetization = 0.00 Bohr magnetons per cell; SG = Ia-3d, No. 230; E_tot = -3.276 eV/atom
1.0
-8.743 8.743 8.743
8.743 -8.743 8.743
8.743 8.743 -8.743
Tl Te F
48 12 20
direct
0.024 0.203 0.115 Tl
0.024 0.322 0.909 Tl
0.087 0.703 0.678 Tl
0.087 0.885 0.409 Tl
0.091 0.615 0.413 Tl
0.091 0.976 0.678 Tl
0.115 0.024 0.203 Tl
0.115 0.591 0.913 Tl
0.178 0.203 0.587 Tl
0.178 0.476 0.591 Tl
0.203 0.115 0.024 Tl
0.203 0.587 0.178 Tl
0.297 0.322 0.913 Tl
0.297 0.476 0.385 Tl
0.322 0.909 0.024 Tl
0.322 0.913 0.297 Tl
0.385 0.297 0.476 Tl
0.385 0.587 0.909 Tl
0.409 0.087 0.885 Tl
0.409 0.822 0.524 Tl
0.413 0.091 0.615 Tl
0.413 0.822 0.797 Tl
0.476 0.385 0.297 Tl
0.476 0.591 0.178 Tl
0.524 0.409 0.822 Tl
0.524 0.615 0.703 Tl
0.587 0.178 0.203 Tl
0.587 0.909 0.385 Tl
0.591 0.178 0.476 Tl
0.591 0.913 0.115 Tl
0.615 0.413 0.091 Tl
0.615 0.703 0.524 Tl
0.678 0.087 0.703 Tl
0.678 0.091 0.976 Tl
0.703 0.524 0.615 Tl
0.703 0.678 0.087 Tl
0.797 0.413 0.822 Tl
0.797 0.885 0.976 Tl
0.822 0.524 0.409 Tl
0.822 0.797 0.413 Tl
0.885 0.409 0.087 Tl
0.885 0.976 0.797 Tl
0.909 0.024 0.322 Tl
0.909 0.385 0.587 Tl
0.913 0.115 0.591 Tl
0.913 0.297 0.322 Tl
0.976 0.678 0.091 Tl
0.976 0.797 0.885 Tl
0.125 0.250 0.375 Te
0.125 0.375 0.750 Te
0.250 0.375 0.125 Te
0.250 0.875 0.625 Te
0.375 0.125 0.250 Te
0.375 0.750 0.125 Te
0.625 0.250 0.875 Te
0.625 0.875 0.750 Te
0.750 0.125 0.375 Te
0.750 0.625 0.875 Te
0.875 0.625 0.250 Te
0.875 0.750 0.625 Te
0.000 0.000 0.000 F
0.000 0.000 0.500 F
0.000 0.500 0.000 F
0.000 0.500 0.500 F
0.125 0.750 0.875 F
0.125 0.875 0.250 F
0.250 0.125 0.875 F
0.250 0.625 0.375 F
0.375 0.250 0.625 F
0.375 0.625 0.750 F
0.500 0.000 0.000 F
0.500 0.000 0.500 F
0.500 0.500 0.000 F
0.500 0.500 0.500 F
0.625 0.375 0.250 F
0.625 0.750 0.375 F
0.750 0.375 0.625 F
0.750 0.875 0.125 F
0.875 0.125 0.750 F
0.875 0.250 0.125 F



# 3
Ti2ReN | Alexandria | PBE | relaxed; magnetization = 0.00 Bohr magnetons per cell; SG = I-42d, No. 122; E_tot = -9.319 eV/atom
1.0
5.807 0.000 0.000
0.000 5.807 0.000
0.000 0.000 7.132
Ti Re N
8 4 4
direct
0.162 0.250 0.125 Ti
0.250 0.662 0.375 Ti
0.250 0.838 0.875 Ti
0.338 0.250 0.625 Ti
0.662 0.750 0.625 Ti
0.750 0.162 0.875 Ti
0.750 0.338 0.375 Ti
0.838 0.750 0.125 Ti
0.000 0.000 0.500 Re
0.000 0.500 0.750 Re
0.500 0.000 0.250 Re
0.500 0.500 0.000 Re
0.000 0.000 0.000 N
0.000 0.500 0.250 N
0.500 0.000 0.750 N
0.500 0.500 0.500 N



# 4
ZnCoCl2 | Alexandria | PBE | relaxed; excess energy over the best structure of this formula in the dataset = 256 meV per atom; magnetization = 2.79 Bohr magnetons per cell; SG = P2/m, No. 10
1.0
3.563 0.000 0.000
0.000 3.275 0.000
-1.104 0.000 8.930
Zn Co Cl
1 1 2
direct
0.000 0.000 0.000 Zn
0.500 0.000 0.500 Co
0.420 0.500 0.673 Cl
0.580 0.500 0.327 Cl



# 5
YSc2Pt | Alexandria | PBE | relaxed; excess energy over the best structure of this formula in the dataset = 450 meV per atom; magnetization = 0.00 Bohr magnetons per cell; SG = R-3m, No. 166; ΔE_f = -0.255 eV/atom
1.0
3.413 0.000 0.000
-1.706 2.956 0.000
0.000 0.000 30.684
Y Sc Pt
3 6 3
direct
0.000 0.000 0.000 Y
0.333 0.667 0.667 Y
0.667 0.333 0.333 Y
0.000 0.000 0.107 Sc
0.000 0.000 0.893 Sc
0.333 0.667 0.560 Sc
0.333 0.667 0.774 Sc
0.667 0.333 0.226 Sc
0.667 0.333 0.440 Sc
0.000 0.000 0.500 Pt
0.333 0.667 0.167 Pt
0.667 0.333 0.833 Pt



# 6
LiBe2Cr | Alexandria | PBE | relaxed; excess energy over the best structure of this formula in the dataset = 54 meV per atom; magnetization = 0.00 Bohr magnetons per cell; SG = P4/mmm, No. 123; ΔE_f = 0.173 eV/atom
1.0
4.208 0.000 0.000
0.000 4.208 0.000
0.000 0.000 2.287
Li Be Cr
1 2 1
direct
0.000 0.000 0.000 Li
0.000 0.500 0.500 Be
0.500 0.000 0.500 Be
0.500 0.500 0.000 Cr



# 7
YScTe2N | Alexandria | PBE | relaxed; excess energy over the best structure of this formula in the dataset = 0 meV per atom; magnetization = 0.85 Bohr magnetons per cell; SG = P4/mmm, No. 123
1.0
5.640 0.000 0.000
0.000 5.640 0.000
0.000 0.000 4.028
Y Sc Te N
1 1 2 1
direct
0.000 0.000 0.000 Y
0.500 0.500 0.500 Sc
0.000 0.500 0.500 Te
0.500 0.000 0.500 Te
0.500 0.500 0.000 N



# 8
Ti3NiAs2 | Alexandria | PBE | relaxed; magnetization = 0.00 Bohr magnetons per cell; SG = Pnma, No. 62; ΔE_f = -0.750 eV/atom
1.0
10.263 0.000 0.000
0.000 3.687 0.000
0.000 0.000 9.850
Ti Ni As
12 4 8
direct
0.048 0.250 0.117 Ti
0.129 0.750 0.565 Ti
0.228 0.250 0.778 Ti
0.272 0.750 0.278 Ti
0.371 0.250 0.065 Ti
0.452 0.750 0.617 Ti
0.548 0.250 0.383 Ti
0.629 0.750 0.935 Ti
0.728 0.250 0.722 Ti
0.772 0.750 0.222 Ti
0.871 0.250 0.435 Ti
0.952 0.750 0.883 Ti
0.126 0.250 0.375 Ni
0.374 0.750 0.875 Ni
0.626 0.250 0.125 Ni
0.874 0.750 0.625 Ni
0.008 0.750 0.307 As
0.186 0.750 0.001 As
0.314 0.250 0.501 As
0.492 0.250 0.807 As
0.508 0.750 0.193 As
0.686 0.750 0.499 As
0.814 0.250 0.999 As
0.992 0.250 0.693 As